Version w
A relaxed K2AsO crystal. Source: Alexandria, functional PBE.

a b c (Å): 8.0387 8.0387 8.0387
angles (deg): 93.88 93.88 149.84
Sites, in units of the cell vectors:
K 0.3750 0.1579 0.2829
K 0.8421 0.1250 0.2171
K 0.8750 0.0921 0.7171
K 0.9079 0.6250 0.7829
As 0.2500 0.7500 0.5000
As 0.5000 0.5000 0.0000
O 0.0000 0.0000 0.0000
O 0.7500 0.2500 0.5000

Results
Magnetization: 0.00 μB/f.u.



Version x
A relaxed K2AsO crystal. Source: Alexandria, functional PBE.

a b c (Å): 5.3529 5.3529 5.3529
angles (deg): 60.00 60.00 60.00
Sites, in units of the cell vectors:
K 0.2500 0.2500 0.2500
K 0.7500 0.7500 0.7500
As 0.0000 0.0000 0.0000
O 0.5000 0.5000 0.5000

Results
Magnetization: 3.00 μB/f.u.



The winner here is version w, beating the second structure by 581 meV/atom.



Version w
A relaxed K2AsO3 crystal. Source: Alexandria, functional PBE.

a b c (Å): 9.0508 7.4902 7.2849
angles (deg): 75.54 53.26 51.20
Sites, in units of the cell vectors:
K 0.2286 0.7714 0.7714
K 0.2500 0.2500 0.2500
K 0.7500 0.7500 0.7500
K 0.7714 0.2286 0.2286
As 0.2345 0.2345 0.7655
As 0.7655 0.7655 0.2345
O 0.0448 0.2768 0.7232
O 0.2768 0.0448 0.9552
O 0.3671 0.3671 0.6329
O 0.6329 0.6329 0.3671
O 0.7232 0.9552 0.0448
O 0.9552 0.7232 0.2768

Results
Magnetization: 0.00 μB/f.u.



Version x
A relaxed K2AsO3 crystal. Source: Alexandria, functional PBE.

a b c (Å): 6.4808 6.6483 12.7337
angles (deg): 95.08 98.94 114.27
Sites, in units of the cell vectors:
K 0.0383 0.4283 0.3651
K 0.1489 0.3965 0.9185
K 0.3568 0.0024 0.8739
K 0.3852 0.1318 0.4145
K 0.6148 0.8682 0.5855
K 0.6432 0.9976 0.1261
K 0.8511 0.6035 0.0815
K 0.9617 0.5717 0.6349
As 0.2566 0.2481 0.6592
As 0.3112 0.3013 0.1761
As 0.6888 0.6987 0.8239
As 0.7434 0.7519 0.3408
O 0.0063 0.1986 0.7034
O 0.0588 0.3288 0.1271
O 0.2783 0.0071 0.6147
O 0.2943 0.4284 0.5676
O 0.4175 0.2484 0.0638
O 0.4835 0.3738 0.7782
O 0.5165 0.6262 0.2218
O 0.5825 0.7516 0.9362
O 0.7057 0.5716 0.4324
O 0.7217 0.9929 0.3853
O 0.9412 0.6712 0.8729
O 0.9937 0.8014 0.2966

Results
Magnetization: 0.00 μB/f.u.



The winner here is version x, beating the second structure by 288 meV/atom.



Version w
A relaxed KAs3O crystal. Source: Alexandria, functional PBE.

a b c (Å): 5.6589 5.6589 5.6589
angles (deg): 90.00 90.00 90.00
Sites, in units of the cell vectors:
K 0.0000 0.0000 0.0000
As 0.0000 0.0000 0.5000
As 0.0000 0.5000 0.0000
As 0.5000 0.0000 0.0000
O 0.5000 0.5000 0.5000

Results
Magnetization: 4.07 μB/f.u.



Version x
A relaxed KAs3O crystal. Source: Alexandria, functional PBE.

a b c (Å): 4.6269 4.6269 4.6269
angles (deg): 90.00 90.00 90.00
Sites, in units of the cell vectors:
K 0.0000 0.0000 0.0000
As 0.0000 0.5000 0.5000
As 0.5000 0.0000 0.5000
As 0.5000 0.5000 0.0000
O 0.5000 0.5000 0.5000

Results
Magnetization: 0.00 μB/f.u.



The winner here is version x, beating the second structure by 1869 meV/atom.



Version w
A relaxed K8As2O crystal. Source: Alexandria, functional PBE.

a b c (Å): 10.4827 10.4827 7.0482
angles (deg): 108.77 108.77 30.84
Sites, in units of the cell vectors:
K 0.0056 0.0056 0.2731
K 0.2326 0.2326 0.7654
K 0.3776 0.3776 0.5883
K 0.4050 0.4050 0.1330
K 0.5950 0.5950 0.8670
K 0.6224 0.6224 0.4117
K 0.7674 0.7674 0.2346
K 0.9944 0.9944 0.7269
As 0.1530 0.1530 0.1538
As 0.8470 0.8470 0.8462
O 0.5000 0.5000 0.5000

Results
Magnetization: 0.00 μB/f.u.



Version x
A relaxed K8As2O crystal. Source: Alexandria, functional PBE.

a b c (Å): 6.9938 8.4310 8.6727
angles (deg): 107.99 90.98 113.28
Sites, in units of the cell vectors:
K 0.0136 0.0687 0.3224
K 0.1252 0.7461 0.0093
K 0.3138 0.6282 0.4494
K 0.3632 0.2720 0.0198
K 0.6368 0.7280 0.9802
K 0.6862 0.3718 0.5506
K 0.8748 0.2539 0.9907
K 0.9864 0.9313 0.6776
As 0.1947 0.3959 0.7119
As 0.8053 0.6041 0.2881
O 0.0000 0.0000 0.0000

Results
Magnetization: 0.00 μB/f.u.



The winner here is version x, beating the second structure by 20 meV/atom.



Version w
A relaxed KAsSe2O crystal. Source: Alexandria, functional PBE.

a b c (Å): 5.6202 5.6202 5.8014
angles (deg): 90.00 90.00 90.00
Sites, in units of the cell vectors:
K 0.0000 0.0000 0.0000
As 0.0000 0.0000 0.5000
Se 0.0000 0.5000 0.0000
Se 0.5000 0.0000 0.0000
O 0.5000 0.5000 0.5000

Results
Magnetization: 0.00 μB/f.u.



Version x
A relaxed KAsSe2O crystal. Source: Alexandria, functional PBE.

a b c (Å): 4.9815 4.9815 4.2728
angles (deg): 90.00 90.00 90.00
Sites, in units of the cell vectors:
K 0.0000 0.0000 0.0000
As 0.5000 0.5000 0.0000
Se 0.0000 0.5000 0.5000
Se 0.5000 0.0000 0.5000
O 0.5000 0.5000 0.5000

Results
Magnetization: 1.02 μB/f.u.



The winner here is version x, beating the second structure by 1799 meV/atom.



Version w
A relaxed KAs2SeO crystal. Source: Alexandria, functional PBE.

a b c (Å): 4.4553 4.4553 5.2080
angles (deg): 90.00 90.00 90.00
Sites, in units of the cell vectors:
K 0.0000 0.0000 0.0000
As 0.0000 0.5000 0.5000
As 0.5000 0.0000 0.5000
Se 0.5000 0.5000 0.0000
O 0.5000 0.5000 0.5000

Results
Magnetization: 0.50 μB/f.u.



Version x
A relaxed KAs2SeO crystal. Source: Alexandria, functional PBE.

a b c (Å): 7.2526 7.2526 6.3663
angles (deg): 90.00 90.00 90.00
Sites, in units of the cell vectors:
K 0.0000 0.0000 0.0000
As 0.0000 0.5000 0.0000
As 0.5000 0.0000 0.0000
Se 0.0000 0.0000 0.5000
O 0.5000 0.5000 0.5000

Results
Magnetization: 5.50 μB/f.u.



The winner here is version w, beating the second structure by 1642 meV/atom.